(1)
# meta-GGA SCAN Mg2AgTe, single point on PBEsol structure
data_Mg2AgTe
_chemical_formula_sum 'Mg8 Ag4 Te4'
_cell_length_a 7.1096
_cell_length_b 7.1096
_cell_length_c 7.1096
_cell_angle_alpha 90.00
_cell_angle_beta 90.00
_cell_angle_gamma 90.00
_symmetry_space_group_name_H-M 'F -4 3 m'
_symmetry_Int_Tables_number 216
_symmetry_space_group_name_Hall 'F -4 2 3'
loop_
_atom_site_label
_atom_site_type_symbol
_atom_site_fract_x
_atom_site_fract_y
_atom_site_fract_z
Mg1 Mg 0.0000 0.0000 0.0000
Mg2 Mg 0.2500 0.2500 0.2500
Ag1 Ag 0.2500 0.2500 0.7500
Te1 Te 0.0000 0.0000 0.5000
# total magnetization	0.000	μB/atom
# Fermi-level density of states	8.32	states/eV/cell

---

(2)
# meta-GGA SCAN MgAg3Te, single point on PBEsol structure
data_MgAg3Te
_chemical_formula_sum 'Mg1 Ag3 Te1'
_cell_length_a 5.2549
_cell_length_b 5.2549
_cell_length_c 5.2549
_cell_angle_alpha 90.00
_cell_angle_beta 90.00
_cell_angle_gamma 90.00
_symmetry_space_group_name_H-M 'P m -3 m'
_symmetry_Int_Tables_number 221
_symmetry_space_group_name_Hall '-P 4 2 3'
loop_
_atom_site_label
_atom_site_type_symbol
_atom_site_fract_x
_atom_site_fract_y
_atom_site_fract_z
Mg1 Mg 0.0000 0.0000 0.0000
Ag1 Ag 0.0000 0.5000 0.5000
Te1 Te 0.5000 0.5000 0.5000
# excess energy over the best structure of this formula in the dataset	0	meV/atom
# total magnetization	0.000	μB/atom
# Fermi-level density of states	2.12	states/eV/cell

---

Going through the records in order, we get uncorrected formation energy values of 0.064 0.541 eV/atom.